! KRbSbSe2 PBE-GGA optimized geometry; values from VASP
! calculated total energy = -3.3400 eV per atom
! formation energy (no corrections) = -0.71 eV per atom
&SYSTEM
  ibrav = 0, nat = 10, ntyp = 4
/
ATOMIC_SPECIES
K 39.10 K.upf
Rb 85.47 Rb.upf
Sb 121.76 Sb.upf
Se 78.96 Se.upf
ATOMIC_POSITIONS angstrom
K -1.3608 2.4785 2.0068
K -1.9407 5.6321 1.8317
Rb 3.0767 2.6150 2.1065
Rb 1.1193 1.5976 7.2438
Sb 0.0000 0.0000 0.0000
Sb -0.0571 2.7135 -1.1974
Se 3.2489 -0.8102 9.0367
Se -0.7752 3.8076 4.9911
Se 4.9712 0.4051 4.3592
Se 0.9471 5.0229 0.3135
CELL_PARAMETERS angstrom
-3.1873 2.6835 6.2333
7.4975 -3.8980 5.5118
-0.1143 5.4271 -2.3949